Entry 1:
The following is a DFT calculation (PBE) of a relaxed Al2Sb5P6 crystal.

The structure in POSCAR format:
```
Al2Sb5P6
1.0
3.842 0.000 0.000
0.000 9.358 0.000
0.000 0.000 18.018
Al P Sb
4 12 10
direct
0.500 0.271 0.619
0.500 0.729 0.381
0.500 0.229 0.119
0.500 0.771 0.881
0.500 0.041 0.677
0.500 0.959 0.323
0.500 0.459 0.177
0.500 0.541 0.823
0.500 0.277 0.485
0.500 0.723 0.515
0.500 0.223 0.985
0.500 0.777 0.015
0.000 0.908 0.853
0.000 0.092 0.147
0.000 0.592 0.353
0.000 0.408 0.647
0.000 0.128 0.766
0.000 0.872 0.234
0.000 0.372 0.266
0.000 0.628 0.734
0.000 0.400 0.935
0.000 0.600 0.065
0.000 0.100 0.435
0.000 0.900 0.565
0.000 0.000 0.000
0.000 0.500 0.500
```

Spin magnetization (μB per cell): 0.000
Crystal system: orthorhombic
Total DFT energy (no corrections) (eV/atom): -4.656
Density (g/cm3): 4.3
Uncorrected formation energy (eV/atom): 0.002
Density of states at the Fermi level (states/eV/f.u.): 3.155

***

Entry 2:
The following is a DFT calculation (PBE) of a relaxed Al2SbP crystal.

The structure in POSCAR format:
```
Al2SbP
1.0
-4.334 0.141 -1.649
0.921 -4.501 -0.645
-1.277 -0.733 3.295
Sb Al P
1 2 1
direct
0.000 0.500 0.500
0.000 0.000 0.000
0.500 0.500 0.000
0.500 0.000 0.500
```

Spin magnetization (μB per cell): 0.000
Crystal system: orthorhombic
Total DFT energy (no corrections) (eV/atom): -3.989
Density (g/cm3): 4.5
Uncorrected formation energy (eV/atom): 0.266
Polymorph energy (0 for the lowest one) (eV/atom): 0.6179
Density of states at the Fermi level (states/eV/f.u.): 1.288

***

Entry 3:
The following is a DFT calculation (PBE) of a relaxed Sr2AlSbP crystal.

The structure in POSCAR format:
```
Sr2AlSbP
1.0
4.476 0.000 0.000
0.000 7.447 0.109
0.000 -3.081 9.218
Sr Al Sb P
4 2 2 2
direct
0.750 0.796 0.607
0.750 0.762 0.018
0.250 0.204 0.393
0.250 0.238 0.982
0.250 0.511 0.744
0.750 0.489 0.256
0.250 0.701 0.301
0.750 0.299 0.699
0.250 0.831 0.823
0.750 0.169 0.177
```

Spin magnetization (μB per cell): 0.000
Crystal system: monoclinic
Total DFT energy (no corrections) (eV/atom): -4.133
Density (g/cm3): 3.8
Uncorrected formation energy (eV/atom): -0.805
Density of states at the Fermi level (states/eV/f.u.): 1.846